1.
Density functional theory data (GGA-PBE) for a relaxed AgW crystal.

The space group is Fd-3m (No. 227, origin choice 2) and the conventional cell measures 6.470, 6.470 and 6.470 Å, with angles of 90.00, 90.00 and 90.00 degrees. The distinct sites, in fractional coordinates, are Ag at (0.125, 0.125, 0.125) and W at (0.125, 0.125, 0.625).

The magnetization is 0.0 μB/f.u. Its relative energy among the computed polymorphs is 473 meV/atom. The calculation puts the energy of formation from the pure elements at 0.8164 eV/atom. The density of states at the Fermi level is 0.43 states/eV per atom. Its crystal system is cubic.


2.
Density functional theory data (GGA-PBE) for a relaxed YZr2ScN crystal.

The space group is P4/mmm (No. 123) and the conventional cell measures 4.569, 4.569 and 4.907 Å, with angles of 90.00, 90.00 and 90.00 degrees. The distinct sites, in fractional coordinates, are Y at (0.000, 0.000, 0.000), Zr at (0.000, 0.500, 0.500), Sc at (0.500, 0.500, 0.000) and N at (0.000, 0.000, 0.500).

The magnetization is 0.0 μB/f.u. Its relative energy among the computed polymorphs is 0 meV/atom. The density of states at the Fermi level is 1.17 states/eV per atom. Its crystal system is tetragonal.


3.
Density functional theory data (GGA-PBE) for a relaxed Pr4HfTh3N8 crystal.

The space group is R-3m (No. 166, hexagonal axes) and the conventional cell measures 7.2173, 7.2173 and 17.8177 Å, with angles of 90.00, 90.00 and 120.00 degrees. The distinct sites, in fractional coordinates, are Pr at (0.0000, 0.0000, 0.0000), Pr at (0.0000, 0.5000, 0.0000), Hf at (0.0000, 0.0000, 0.5000), Th at (0.0000, 0.5000, 0.5000), N at (0.0000, 0.0000, 0.2441) and N at (0.0211, 0.5106, 0.2392).

The magnetization is 0.0 μB/f.u. For the total energy, the calculation gives -8.850 eV per atom. The density of states at the Fermi level is 0.33 states/eV per atom. Its crystal system is trigonal.


4.
Density functional theory data (GGA-PBE) for a relaxed CaRh2W crystal.

The space group is I-42d (No. 122) and the conventional cell measures 7.284, 7.284 and 5.980 Å, with angles of 90.00, 90.00 and 90.00 degrees. The distinct sites, in fractional coordinates, are Ca at (0.000, 0.000, 0.000), Rh at (0.198, 0.250, 0.625) and W at (0.000, 0.000, 0.500).

The magnetization is 0.0 μB/f.u. Its relative energy among the computed polymorphs is 447 meV/atom. The calculation puts the energy of formation from the pure elements at 0.2967 eV/atom. The density of states at the Fermi level is 0.21 states/eV per atom. Its crystal system is tetragonal.